First-principles (PBE) data for an optimized crystal structure of Nd2NiAs4Pt3, as listed in the Alexandria database.

Computed properties:
total magnetic moment = 0.00 μB per formula unit
ΔE_f = -0.8515 eV per atom

abc: 4.404 4.404 9.937
angles: 90.00 90.00 90.00
Atoms (fractional coordinates):
As1 0.000 0.500 0.376
As2 0.500 0.500 0.000
As3 0.500 0.000 0.624
As4 0.000 0.000 0.000
Pt1 0.000 0.500 0.126
Pt2 0.500 0.000 0.874
Pt3 0.000 0.000 0.500
Ni1 0.500 0.500 0.500
Nd1 0.500 0.000 0.255
Nd2 0.000 0.500 0.745



First-principles (PBE) data for an optimized crystal structure of LaCe5Ir6, as listed in the Alexandria database.

Computed properties:
total magnetic moment = 0.00 μB per formula unit
ΔE_f = -0.6812 eV per atom

abc: 7.023 7.028 7.032
angles: 60.02 80.39 70.48
Atoms (fractional coordinates):
Ir1 0.742 0.741 0.000
Ir2 0.255 0.569 0.346
Ir3 0.258 0.259 0.000
Ir4 0.255 0.914 0.654
Ir5 0.745 0.086 0.346
Ir6 0.745 0.431 0.654
La1 0.000 0.000 0.000
Ce1 0.500 0.500 0.000
Ce2 0.000 0.667 0.665
Ce3 0.000 0.333 0.335
Ce4 0.500 0.835 0.330
Ce5 0.500 0.165 0.670



First-principles (PBE) data for an optimized crystal structure of Cs4Ac3NpS8, as listed in the Alexandria database.

Computed properties:
total magnetic moment = 4.00 μB per formula unit
ΔE_f (raw) = -1.722 eV/atom

abc: 8.841 9.584 8.841
angles: 117.48 120.00 90.00
Site moments in Bohr magnetons follow the coordinates.
Atoms (fractional coordinates):
Ac1 0.500 0.500 0.500  0.01
Ac2 0.000 0.500 0.500  0.01
Ac3 0.500 0.500 0.000  0.01
S1 0.778 0.313 0.035  -0.02
S2 0.222 0.687 0.445  -0.02
S3 0.257 0.313 0.035  -0.02
S4 0.732 0.695 0.463  0.00
S5 0.778 0.313 0.555  -0.02
S6 0.743 0.687 0.965  -0.02
S7 0.222 0.687 0.965  -0.02
S8 0.268 0.305 0.537  0.00
Cs1 0.000 0.000 0.000  0.00
Cs2 0.500 0.000 0.000  0.00
Cs3 0.500 0.000 0.500  0.00
Cs4 0.000 0.000 0.500  0.00
Np1 0.000 0.500 0.000  3.87



- Which formula does entry 3 have?
  Cs4Ac3NpS8



- What is the total magnetic moment in the third record?
  4.00 μB per formula unit



- total magnetic moment of number 1 (Nd2NiAs4Pt3)?
  0.00 μB per formula unit